Entry 1:
Material: In2GaPb
Method: DFT, PBE-GGA
State: optimized geometry

Lattice parameters (Å, degrees): 4.650 4.793 4.793 90.00 90.00 90.00
Atoms (fractional coordinates):
Pb  0.500  0.000  0.000
Ga  0.500  0.500  0.500
In  0.000  0.000  0.500
In  0.000  0.500  0.000

## Properties
- Magnetization: 0.00 μB/cell
- E above lowest polymorph: 0.032 eV/atom
- Space-group type: P4/mmm, No. 123
- Formation enthalpy at 0 K: 0.07 eV per atom

---

Entry 2:
Material: InGaPb
Method: DFT, PBE-GGA
State: optimized geometry

Lattice parameters (Å, degrees): 4.425 6.003 6.783 87.37 70.52 69.02
Atoms (fractional coordinates):
In  0.606  0.238  0.559
In  0.394  0.762  0.441
Ga  0.970  0.887  0.174
Ga  0.030  0.113  0.826
Pb  0.732  0.679  0.855
Pb  0.268  0.321  0.145

## Properties
- Magnetization: 0.00 μB/cell
- E above lowest polymorph: 0.000 eV/atom
- Space-group type: P-1, No. 2
- Formation enthalpy at 0 K: 0.03 eV per atom

---

Entry 3:
Material: InGaPb3
Method: DFT, PBE-GGA
State: optimized geometry

Lattice parameters (Å, degrees): 6.094 6.084 8.612 102.94 105.40 70.21
Atoms (fractional coordinates):
In  0.904  0.791  0.976
In  0.122  0.398  0.638
Ga  0.340  0.370  0.020
Ga  0.686  0.820  0.594
Pb  0.533  0.360  0.406
Pb  0.715  0.297  0.809
Pb  0.060  0.866  0.407
Pb  0.966  0.323  0.208
Pb  0.493  0.829  0.208
Pb  0.311  0.891  0.806

## Properties
- Magnetization: 0.00 μB/cell
- E above lowest polymorph: 0.000 eV/atom
- Space-group type: P-1, No. 2
- Formation enthalpy at 0 K: 0.05 eV per atom

---

Entry 4:
Material: InGa4Pb
Method: DFT, PBE-GGA
State: optimized geometry

Lattice parameters (Å, degrees): 5.770 5.770 5.770 60.00 60.00 60.00
Atoms (fractional coordinates):
Pb  0.250  0.250  0.250
Ga  0.625  0.625  0.125
Ga  0.625  0.125  0.625
Ga  0.625  0.625  0.625
Ga  0.125  0.625  0.625
In  0.000  0.000  0.000

## Properties
- Magnetization: 0.00 μB/cell
- E above lowest polymorph: 0.034 eV/atom
- Space-group type: F-43m, No. 216
- Formation enthalpy at 0 K: 0.05 eV per atom

---

Entry 5:
Material: In12Ga7Pb2
Method: DFT, PBE-GGA
State: optimized geometry

Lattice parameters (Å, degrees): 4.415 11.826 11.826 120.01 90.00 90.00
Atoms (fractional coordinates):
In  0.500  0.905  0.653
In  0.500  0.748  0.095
In  0.500  0.347  0.252
In  0.500  0.259  0.808
In  0.500  0.549  0.741
In  0.500  0.192  0.451
In  0.000  0.054  0.577
In  0.000  0.523  0.946
In  0.000  0.423  0.477
In  0.000  0.733  0.692
In  0.000  0.959  0.267
In  0.000  0.308  0.041
Ga  0.000  0.333  0.667
Ga  0.000  0.044  0.836
Ga  0.000  0.792  0.956
Ga  0.000  0.164  0.208
Ga  0.500  0.609  0.489
Ga  0.500  0.880  0.391
Ga  0.500  0.511  0.120
Pb  0.500  0.000  0.000
Pb  0.000  0.667  0.333

## Properties
- Magnetization: 0.00 μB/cell
- Space-group type: P-6, No. 174
- Formation enthalpy at 0 K: 0.05 eV per atom

---

Entry 6:
Material: In6GaPb
Method: DFT, PBE-GGA
State: optimized geometry

Lattice parameters (Å, degrees): 4.576 4.576 10.238 90.00 90.00 90.00
Atoms (fractional coordinates):
In  0.500  0.500  0.000
In  0.500  0.500  0.500
In  0.500  0.000  0.263
In  0.500  0.000  0.737
In  0.000  0.500  0.263
In  0.000  0.500  0.737
Ga  0.000  0.000  0.500
Pb  0.000  0.000  0.000

## Properties
- Magnetization: 0.00 μB/cell
- Space-group type: P4/mmm, No. 123
- Formation enthalpy at 0 K: 0.04 eV per atom